First-principles (PBE) data for a relaxed structure of Ti3VB, as listed in the Alexandria database.

## Properties
space-group type = No. 221
size of the total moment = 0.000 μB per atom
N(E_F) = 1.2057 states/eV/atom
calculated volume = 17.3 Å³/atom
polymorph energy (0 for the lowest one) = 1.238 eV per atom

```
5
Lattice="4.419 0.000 0.000 0.000 4.419 0.000 0.000 0.000 4.419" Properties=species:S:1:pos:R:3 pbc="T T T"
Ti 0.000 0.000 2.210
Ti 0.000 2.210 0.000
Ti 2.210 0.000 0.000
V 0.000 0.000 0.000
B 2.210 2.210 2.210
```

---

First-principles (PBE) data for a relaxed structure of TiV3B, as listed in the Alexandria database.

## Properties
space-group type = No. 221
size of the total moment = 0.000 μB per atom
N(E_F) = 1.4673 states/eV/atom
calculated volume = 15.7 Å³/atom
polymorph energy (0 for the lowest one) = 1.871 eV per atom

```
5
Lattice="4.279 0.000 0.000 0.000 4.279 0.000 0.000 0.000 4.279" Properties=species:S:1:pos:R:3 pbc="T T T"
Ti 0.000 0.000 0.000
V 0.000 0.000 2.140
V 0.000 2.140 0.000
V 2.140 0.000 0.000
B 2.140 2.140 2.140
```

---

First-principles (PBE) data for a relaxed structure of TiVB3, as listed in the Alexandria database.

## Properties
space-group type = No. 63
size of the total moment = 0.000 μB per atom
N(E_F) = 0.1847 states/eV/atom
calculated volume = 8.8 Å³/atom
polymorph energy (0 for the lowest one) = 0.000 eV per atom

```
10
Lattice="1.571 -9.281 0.000 1.571 9.281 0.000 0.000 0.000 3.008" Properties=species:S:1:pos:R:3 pbc="T T T"
Ti 1.571 7.957 2.256
Ti 1.571 -7.957 0.752
V 1.571 5.463 0.752
V 1.571 -5.463 2.256
B 1.571 3.144 0.752
B 1.571 2.204 2.256
B 1.571 0.443 2.256
B 1.571 -0.443 0.752
B 1.571 -2.204 0.752
B 1.571 -3.144 2.256
```

---

First-principles (PBE) data for a relaxed structure of Ti2V3B2, as listed in the Alexandria database.

## Properties
space-group type = No. 12
size of the total moment = 0.000 μB per atom
total energy = -8.45 eV/atom
N(E_F) = 1.0596 states/eV/atom
calculated volume = 12.0 Å³/atom

```
7
Lattice="4.442 -1.595 0.000 4.442 1.595 0.000 -2.153 0.000 5.938" Properties=species:S:1:pos:R:3 pbc="T T T"
Ti 0.665 0.000 1.838
Ti 6.067 0.000 4.101
V 3.178 0.000 0.300
V 3.366 0.000 2.969
V 3.554 0.000 5.638
B -0.149 0.000 4.236
B 6.880 0.000 1.703
```

---

First-principles (PBE) data for a relaxed structure of TiVB2, as listed in the Alexandria database.

## Properties
space-group type = No. 38
size of the total moment = 0.000 μB per atom
N(E_F) = 0.5587 states/eV/atom
calculated volume = 9.8 Å³/atom
polymorph energy (0 for the lowest one) = 0.000 eV per atom

```
4
Lattice="3.007 0.000 0.000 0.000 1.571 4.158 0.000 -1.571 4.158" Properties=species:S:1:pos:R:3 pbc="T T T"
Ti 0.000 0.000 0.000
V 1.503 0.000 2.431
B 0.000 0.000 5.915
B 1.503 0.000 4.939
```

---

First-principles (PBE) data for a relaxed structure of Ti3VB, as listed in the Alexandria database.

## Properties
space-group type = No. 221
size of the total moment = 0.464 μB per atom
N(E_F) = 1.6899 states/eV/atom
calculated volume = 15.8 Å³/atom
polymorph energy (0 for the lowest one) = 0.000 eV per atom

```
5
Lattice="4.287 0.000 0.000 0.000 4.287 0.000 0.000 0.000 4.287" Properties=species:S:1:pos:R:3 pbc="T T T"
Ti 0.000 0.000 2.143
Ti 0.000 2.143 0.000
Ti 2.143 0.000 0.000
V 2.143 2.143 2.143
B 0.000 0.000 0.000
```

---

First-principles (PBE) data for a relaxed structure of Ti3BW, as listed in the Alexandria database.

## Properties
space-group type = No. 221
size of the total moment = 0.211 μB per atom
N(E_F) = 1.5088 states/eV/atom
calculated volume = 21.0 Å³/atom
polymorph energy (0 for the lowest one) = 1.589 eV per atom

```
5
Lattice="4.717 0.000 0.000 0.000 4.717 0.000 0.000 0.000 4.717" Properties=species:S:1:pos:R:3 pbc="T T T"
Ti 0.000 0.000 2.358
Ti 0.000 2.358 0.000
Ti 2.358 0.000 0.000
B 2.358 2.358 2.358
W 0.000 0.000 0.000
```

---

First-principles (PBE) data for a relaxed structure of TiBW, as listed in the Alexandria database.

## Properties
space-group type = No. 63
size of the total moment = 0.000 μB per atom
N(E_F) = 0.4068 states/eV/atom
calculated volume = 12.4 Å³/atom
polymorph energy (0 for the lowest one) = 0.000 eV per atom

```
6
Lattice="1.610 -7.428 0.000 1.610 7.428 0.000 0.000 0.000 3.106" Properties=species:S:1:pos:R:3 pbc="T T T"
Ti 1.610 6.167 2.330
Ti 1.610 -6.167 0.777
B 1.610 0.480 2.330
B 1.610 -0.480 0.777
W 1.610 2.966 2.330
W 1.610 -2.966 0.777
```

---

Q: Which formula does entry 4 have?
A: Ti2V3B2

---

Q: Look up the size of the total moment of the second one.
A: 0.000 μB per atom

---

What did the second record say?
First-principles (PBE) data for a relaxed structure of TiV3B, as listed in the Alexandria database.

## Properties
space-group type = No. 221
size of the total moment = 0.000 μB per atom
N(E_F) = 1.4673 states/eV/atom
calculated volume = 15.7 Å³/atom
polymorph energy (0 for the lowest one) = 1.871 eV per atom

```
5
Lattice="4.279 0.000 0.000 0.000 4.279 0.000 0.000 0.000 4.279" Properties=species:S:1:pos:R:3 pbc="T T T"
Ti 0.000 0.000 0.000
V 0.000 0.000 2.140
V 0.000 2.140 0.000
V 2.140 0.000 0.000
B 2.140 2.140 2.140
```

---

What did the eighth record say?
First-principles (PBE) data for a relaxed structure of TiBW, as listed in the Alexandria database.

## Properties
space-group type = No. 63
size of the total moment = 0.000 μB per atom
N(E_F) = 0.4068 states/eV/atom
calculated volume = 12.4 Å³/atom
polymorph energy (0 for the lowest one) = 0.000 eV per atom

```
6
Lattice="1.610 -7.428 0.000 1.610 7.428 0.000 0.000 0.000 3.106" Properties=species:S:1:pos:R:3 pbc="T T T"
Ti 1.610 6.167 2.330
Ti 1.610 -6.167 0.777
B 1.610 0.480 2.330
B 1.610 -0.480 0.777
W 1.610 2.966 2.330
W 1.610 -2.966 0.777
```